No. 1
AlH6N2Cl3: relaxed, PBE.

Unit cell a=11.444 b=19.002 c=6.448 alpha=90.00 beta=90.00 gamma=90.00
Fractional coordinates of all 96 atoms:
Al  0.000  0.000  0.000
Al  0.000  0.500  0.000
Al  0.231  0.250  0.453
Al  0.269  0.750  0.953
Al  0.500  0.000  0.500
Al  0.500  0.500  0.500
Al  0.731  0.250  0.047
Al  0.769  0.750  0.547
H  0.060  0.119  0.171
H  0.060  0.381  0.171
H  0.083  0.549  0.351
H  0.083  0.951  0.351
H  0.093  0.612  0.175
H  0.093  0.888  0.175
H  0.114  0.117  0.934
H  0.114  0.383  0.934
H  0.180  0.075  0.124
H  0.180  0.425  0.124
H  0.189  0.548  0.177
H  0.189  0.952  0.177
H  0.311  0.048  0.677
H  0.311  0.452  0.677
H  0.320  0.575  0.624
H  0.320  0.925  0.624
H  0.386  0.617  0.434
H  0.386  0.883  0.434
H  0.407  0.112  0.675
H  0.407  0.388  0.675
H  0.417  0.049  0.851
H  0.417  0.451  0.851
H  0.440  0.619  0.671
H  0.440  0.881  0.671
H  0.560  0.119  0.329
H  0.560  0.381  0.329
H  0.583  0.549  0.149
H  0.583  0.951  0.149
H  0.593  0.612  0.325
H  0.593  0.888  0.325
H  0.614  0.117  0.566
H  0.614  0.383  0.566
H  0.680  0.075  0.376
H  0.680  0.425  0.376
H  0.689  0.548  0.323
H  0.689  0.952  0.323
H  0.811  0.048  0.823
H  0.811  0.452  0.823
H  0.820  0.575  0.876
H  0.820  0.925  0.876
H  0.886  0.617  0.066
H  0.886  0.883  0.066
H  0.907  0.112  0.825
H  0.907  0.388  0.825
H  0.917  0.049  0.649
H  0.917  0.451  0.649
H  0.940  0.619  0.829
H  0.940  0.881  0.829
N  0.098  0.087  0.063
N  0.098  0.413  0.063
N  0.101  0.559  0.196
N  0.101  0.941  0.196
N  0.399  0.059  0.696
N  0.399  0.441  0.696
N  0.402  0.587  0.563
N  0.402  0.913  0.563
N  0.598  0.087  0.437
N  0.598  0.413  0.437
N  0.601  0.559  0.304
N  0.601  0.941  0.304
N  0.899  0.059  0.804
N  0.899  0.441  0.804
N  0.902  0.587  0.937
N  0.902  0.913  0.937
Cl  0.094  0.750  0.084
Cl  0.128  0.529  0.726
Cl  0.128  0.971  0.726
Cl  0.138  0.157  0.559
Cl  0.138  0.343  0.559
Cl  0.242  0.250  0.122
Cl  0.258  0.750  0.622
Cl  0.362  0.657  0.059
Cl  0.362  0.843  0.059
Cl  0.372  0.029  0.226
Cl  0.372  0.471  0.226
Cl  0.406  0.250  0.584
Cl  0.594  0.750  0.416
Cl  0.628  0.529  0.774
Cl  0.628  0.971  0.774
Cl  0.638  0.157  0.941
Cl  0.638  0.343  0.941
Cl  0.742  0.250  0.378
Cl  0.758  0.750  0.878
Cl  0.862  0.657  0.441
Cl  0.862  0.843  0.441
Cl  0.872  0.029  0.274
Cl  0.872  0.471  0.274
Cl  0.906  0.250  0.916

No. 2
CaB3O: relaxed, PBE.

Unit cell a=4.874 b=4.874 c=4.874 alpha=90.00 beta=90.00 gamma=90.00
Fractional coordinates of all 5 atoms:
Ca  0.000  0.000  0.000
B  0.000  0.000  0.500
B  0.000  0.500  0.000
B  0.500  0.000  0.000
O  0.500  0.500  0.500

Summary:
The raw formation energy is 3142 meV per atom.

No. 3
TbCeAgS4: relaxed, PBE.

Unit cell a=8.018 b=8.018 c=8.018 alpha=120.79 beta=118.70 gamma=90.45
Fractional coordinates of all 14 atoms:
Tb  0.500  0.000  0.000
Tb  0.500  0.500  0.500
Ce  0.000  0.000  0.000
Ce  0.500  0.000  0.500
Ag  0.118  0.368  0.750
Ag  0.882  0.632  0.250
S  0.256  0.239  0.483
S  0.256  0.773  0.017
S  0.257  0.241  0.017
S  0.276  0.759  0.517
S  0.724  0.241  0.483
S  0.743  0.759  0.983
S  0.744  0.227  0.983
S  0.744  0.761  0.517

Summary:
The raw formation energy is -1505 meV per atom.

No. 4
Na2SrPb2: relaxed, PBE.

Unit cell a=8.196 b=8.196 c=8.196 alpha=146.45 beta=146.45 gamma=48.18
Fractional coordinates of all 5 atoms:
Na  0.250  0.750  0.500
Na  0.750  0.250  0.500
Sr  0.000  0.000  0.000
Pb  0.400  0.400  0.000
Pb  0.600  0.600  0.000

Summary:
The formation enthalpy at 0 K is -0.2722 eV/atom.

no.,total magnetic moment (Bohr magnetons per cell),electronic total energy (eV per formula unit)
1,0.000,-56.766
2,0.663,-11.283
3,0.000,-40.458
4,0.000,-13.097